No. 1
! LiBePd GGA-PBE relaxed; values from VASP
&SYSTEM
  ibrav = 0, nat = 6, ntyp = 3
/
ATOMIC_SPECIES
Li 6.94 Li.upf
Be 9.01 Be.upf
Pd 106.42 Pd.upf
CELL_PARAMETERS angstrom
-1.452 1.452 9.867
1.452 -1.452 9.867
1.452 1.452 -9.867
ATOMIC_POSITIONS crystal
Li 0.073 0.073 0.000
Li 0.927 0.927 0.000
Be 0.218 0.218 0.000
Be 0.782 0.782 0.000
Pd 0.341 0.341 0.000
Pd 0.659 0.659 0.000
! * calculated density: 4.88 g/cm³
! * symmetry: I4/mmm (139)
! * energy above the most stable polymorph in this dataset: 0.0588 eV/atom
! * formation enthalpy at 0 K: -0.358 eV/atom

No. 2
! Li2BePd GGA-PBE relaxed; values from VASP
&SYSTEM
  ibrav = 0, nat = 8, ntyp = 3
/
ATOMIC_SPECIES
Li 6.94 Li.upf
Be 9.01 Be.upf
Pd 106.42 Pd.upf
CELL_PARAMETERS angstrom
-3.374 3.374 2.309
3.374 -3.374 2.309
3.374 3.374 -2.309
ATOMIC_POSITIONS crystal
Li 0.109 0.125 0.484
Li 0.375 0.891 0.016
Li 0.641 0.625 0.516
Li 0.875 0.359 0.984
Be 0.000 0.000 0.000
Be 0.750 0.250 0.500
Pd 0.250 0.750 0.500
Pd 0.500 0.500 0.000
! * calculated density: 4.08 g/cm³
! * symmetry: I-42d (122)
! * formation enthalpy at 0 K: 0.002 eV/atom

No. 3
! Li5BePd6 GGA-PBE relaxed; values from VASP
&SYSTEM
  ibrav = 0, nat = 12, ntyp = 3
/
ATOMIC_SPECIES
Li 6.94 Li.upf
Be 9.01 Be.upf
Pd 106.42 Pd.upf
CELL_PARAMETERS angstrom
6.548 -3.007 0.000
6.548 3.007 0.000
-1.304 0.000 3.969
ATOMIC_POSITIONS crystal
Li 0.000 0.000 0.000
Li 0.165 0.165 0.663
Li 0.327 0.327 0.329
Li 0.673 0.673 0.671
Li 0.835 0.835 0.337
Be 0.500 0.500 0.000
Pd 0.100 0.580 0.842
Pd 0.267 0.733 0.500
Pd 0.420 0.900 0.158
Pd 0.580 0.100 0.842
Pd 0.733 0.267 0.500
Pd 0.900 0.420 0.158
! * calculated density: 7.25 g/cm³
! * symmetry: C2/m (12)
! * formation enthalpy at 0 K: -0.457 eV/atom

No. 4
! LiPr2BePd6 GGA-PBE relaxed; values from VASP
&SYSTEM
  ibrav = 0, nat = 10, ntyp = 4
/
ATOMIC_SPECIES
Li 6.94 Li.upf
Pr 140.91 Pr.upf
Be 9.01 Be.upf
Pd 106.42 Pd.upf
CELL_PARAMETERS angstrom
5.960 0.000 0.000
2.969 5.185 0.000
2.950 1.715 5.895
ATOMIC_POSITIONS crystal
Li 0.000 0.000 0.000
Pr 0.265 0.265 0.205
Pr 0.735 0.735 0.795
Be 0.500 0.500 0.500
Pd 0.227 0.742 0.289
Pd 0.258 0.258 0.711
Pd 0.258 0.774 0.710
Pd 0.742 0.226 0.290
Pd 0.742 0.742 0.289
Pd 0.773 0.258 0.711
! * calculated density: 8.53 g/cm³
! * symmetry: P-1 (2)
! * formation enthalpy at 0 K: -0.600 eV/atom

No. 5
! LiBePdPt2 GGA-PBE relaxed; values from VASP
&SYSTEM
  ibrav = 0, nat = 5, ntyp = 4
/
ATOMIC_SPECIES
Li 6.94 Li.upf
Be 9.01 Be.upf
Pd 106.42 Pd.upf
Pt 195.08 Pt.upf
CELL_PARAMETERS angstrom
4.207 0.000 0.000
0.000 4.207 0.000
0.000 0.000 4.104
ATOMIC_POSITIONS crystal
Li 0.000 0.000 0.000
Be 0.500 0.500 0.500
Pd 0.000 0.000 0.500
Pt 0.000 0.500 0.000
Pt 0.500 0.000 0.000
! * calculated density: 11.72 g/cm³
! * symmetry: P4/mmm (123)
! * formation enthalpy at 0 K: 0.460 eV/atom

No. 6
! LiPu2BePd6 GGA-PBE relaxed; values from VASP
&SYSTEM
  ibrav = 0, nat = 10, ntyp = 4
/
ATOMIC_SPECIES
Li 6.94 Li.upf
Pu 244.00 Pu.upf
Be 9.01 Be.upf
Pd 106.42 Pd.upf
CELL_PARAMETERS angstrom
0.000 4.424 4.424
4.424 0.000 4.424
4.424 4.424 0.000
ATOMIC_POSITIONS crystal
Li 0.000 0.000 0.000
Pu 0.250 0.250 0.250
Pu 0.750 0.750 0.750
Be 0.500 0.500 0.500
Pd 0.255 0.255 0.745
Pd 0.255 0.745 0.255
Pd 0.255 0.745 0.745
Pd 0.745 0.255 0.255
Pd 0.745 0.255 0.745
Pd 0.745 0.745 0.255
! * calculated density: 10.95 g/cm³
! * symmetry: Fm-3m (225)
! * formation enthalpy at 0 K: -0.359 eV/atom

No. 7
! LiBe2PdRu GGA-PBE relaxed; values from VASP
&SYSTEM
  ibrav = 0, nat = 5, ntyp = 4
/
ATOMIC_SPECIES
Li 6.94 Li.upf
Be 9.01 Be.upf
Pd 106.42 Pd.upf
Ru 101.07 Ru.upf
CELL_PARAMETERS angstrom
4.229 0.000 0.000
0.000 4.229 0.000
0.000 0.000 4.844
ATOMIC_POSITIONS crystal
Li 0.000 0.000 0.000
Be 0.000 0.500 0.500
Be 0.500 0.000 0.500
Pd 0.500 0.500 0.000
Ru 0.500 0.500 0.500
! * calculated density: 4.45 g/cm³
! * symmetry: P4/mmm (123)
! * formation enthalpy at 0 K: 0.634 eV/atom

No. 8
! LiSc2Be2Pd5 GGA-PBE relaxed; values from VASP
&SYSTEM
  ibrav = 0, nat = 20, ntyp = 4
/
ATOMIC_SPECIES
Li 6.94 Li.upf
Sc 44.96 Sc.upf
Be 9.01 Be.upf
Pd 106.42 Pd.upf
CELL_PARAMETERS angstrom
9.415 0.000 0.000
0.000 9.415 0.000
0.000 0.000 3.284
ATOMIC_POSITIONS crystal
Li 0.000 0.000 0.000
Li 0.500 0.500 0.000
Sc 0.175 0.325 0.000
Sc 0.325 0.825 0.000
Sc 0.675 0.175 0.000
Sc 0.825 0.675 0.000
Be 0.125 0.625 0.000
Be 0.375 0.125 0.000
Be 0.625 0.875 0.000
Be 0.875 0.375 0.000
Pd 0.000 0.500 0.500
Pd 0.071 0.791 0.500
Pd 0.209 0.071 0.500
Pd 0.291 0.571 0.500
Pd 0.429 0.291 0.500
Pd 0.500 0.000 0.500
Pd 0.571 0.709 0.500
Pd 0.709 0.429 0.500
Pd 0.791 0.929 0.500
Pd 0.929 0.209 0.500
! * calculated density: 7.38 g/cm³
! * symmetry: P4/mbm (127)
! * formation enthalpy at 0 K: -0.712 eV/atom

No. 9
! Li2Be2SiPd5 GGA-PBE relaxed; values from VASP
&SYSTEM
  ibrav = 0, nat = 20, ntyp = 4
/
ATOMIC_SPECIES
Li 6.94 Li.upf
Be 9.01 Be.upf
Si 28.09 Si.upf
Pd 106.42 Pd.upf
CELL_PARAMETERS angstrom
9.689 0.000 0.000
0.000 9.689 0.000
0.000 0.000 2.895
ATOMIC_POSITIONS crystal
Li 0.174 0.326 0.000
Li 0.326 0.826 0.000
Li 0.674 0.174 0.000
Li 0.826 0.674 0.000
Be 0.128 0.628 0.000
Be 0.372 0.128 0.000
Be 0.628 0.872 0.000
Be 0.872 0.372 0.000
Si 0.000 0.000 0.000
Si 0.500 0.500 0.000
Pd 0.000 0.500 0.500
Pd 0.066 0.798 0.500
Pd 0.202 0.066 0.500
Pd 0.298 0.566 0.500
Pd 0.434 0.298 0.500
Pd 0.500 0.000 0.500
Pd 0.566 0.702 0.500
Pd 0.702 0.434 0.500
Pd 0.798 0.934 0.500
Pd 0.934 0.202 0.500
! * total energy: -4.84 eV per atom
! * calculated density: 7.24 g/cm³
! * symmetry: P4/mbm (127)

No. 10
! LiBeSiPd GGA-PBE relaxed; values from VASP
&SYSTEM
  ibrav = 0, nat = 4, ntyp = 4
/
ATOMIC_SPECIES
Li 6.94 Li.upf
Be 9.01 Be.upf
Si 28.09 Si.upf
Pd 106.42 Pd.upf
CELL_PARAMETERS angstrom
0.000 2.882 2.882
2.882 0.000 2.882
2.882 2.882 0.000
ATOMIC_POSITIONS crystal
Li 0.000 0.000 0.000
Be 0.750 0.750 0.750
Si 0.250 0.250 0.250
Pd 0.500 0.500 0.500
! * total energy: -4.45 eV per atom
! * calculated density: 5.22 g/cm³
! * symmetry: F-43m (216)

No. 11
! LiBeSnPd GGA-PBE relaxed; values from VASP
&SYSTEM
  ibrav = 0, nat = 4, ntyp = 4
/
ATOMIC_SPECIES
Li 6.94 Li.upf
Be 9.01 Be.upf
Sn 118.71 Sn.upf
Pd 106.42 Pd.upf
CELL_PARAMETERS angstrom
0.000 3.093 3.093
3.093 0.000 3.093
3.093 3.093 0.000
ATOMIC_POSITIONS crystal
Li 0.000 0.000 0.000
Be 0.250 0.250 0.250
Sn 0.750 0.750 0.750
Pd 0.500 0.500 0.500
! * calculated density: 6.76 g/cm³
! * symmetry: F-43m (216)
! * formation enthalpy at 0 K: -0.286 eV/atom

No. 12
! Li2Be2SnPd5 GGA-PBE relaxed; values from VASP
&SYSTEM
  ibrav = 0, nat = 20, ntyp = 4
/
ATOMIC_SPECIES
Li 6.94 Li.upf
Be 9.01 Be.upf
Sn 118.71 Sn.upf
Pd 106.42 Pd.upf
CELL_PARAMETERS angstrom
9.547 0.000 0.000
0.000 9.547 0.000
0.000 0.000 3.266
ATOMIC_POSITIONS crystal
Li 0.174 0.326 0.000
Li 0.326 0.826 0.000
Li 0.674 0.174 0.000
Li 0.826 0.674 0.000
Be 0.123 0.623 0.000
Be 0.377 0.123 0.000
Be 0.623 0.877 0.000
Be 0.877 0.377 0.000
Sn 0.000 0.000 0.000
Sn 0.500 0.500 0.000
Pd 0.000 0.500 0.500
Pd 0.072 0.784 0.500
Pd 0.216 0.072 0.500
Pd 0.284 0.572 0.500
Pd 0.428 0.284 0.500
Pd 0.500 0.000 0.500
Pd 0.572 0.716 0.500
Pd 0.716 0.428 0.500
Pd 0.784 0.928 0.500
Pd 0.928 0.216 0.500
! * calculated density: 7.62 g/cm³
! * symmetry: P4/mbm (127)
! * formation enthalpy at 0 K: -0.513 eV/atom